Density functional theory data (PBE) for a geometry-optimized YCr2Ag structure.

Summary:
As for the calculated volume: 82.7 Å³/cell. The excess energy over the best structure of this formula in the dataset comes out at 504 meV per atom. The calculation puts the total DFT energy (no corrections) at -6.393 eV per atom. The magnetic moment comes out at 7.4 Bohr magnetons per cell. For the formation energy from the elements, the calculation gives 0.75 eV/atom.

Cell: 9.5488 9.5488 9.5488 Å, 19.24 19.24 19.24°
Closest atoms and distances in Å follow each position.
Fractional coordinates of all 4 atoms:
Y1 0.0000 0.0000 0.0000  6 Cr 3.09, 6 Y 3.19
Cr1 0.2453 0.2453 0.2453  3 Ag 2.88, 3 Y 3.09, 6 Cr 3.19
Cr2 0.7547 0.7547 0.7547  3 Ag 2.88, 3 Y 3.09, 6 Cr 3.19
Ag1 0.5000 0.5000 0.5000  6 Cr 2.88, 6 Ag 3.19

=====

Density functional theory data (PBE) for a geometry-optimized MgCCl2F structure.

Summary:
As for the calculated volume: 103.4 Å³/cell. Its energy relative to the elements, uncorrected is 14.76 kcal/mol of atoms. The calculation puts the total DFT energy (no corrections) at -2.637 eV per atom. The magnetic moment comes out at 1.2 Bohr magnetons per cell.

Cell: 4.7587 4.7587 4.5669 Å, 90.00 90.00 90.00°
Closest atoms and distances in Å follow each position.
Fractional coordinates of all 5 atoms:
Mg1 0.0000 0.0000 0.0000  2 C 2.28, 4 Cl 2.38
C1 0.0000 0.0000 0.5000  2 Mg 2.28
Cl1 0.0000 0.5000 0.0000  2 Mg 2.38
Cl2 0.5000 0.0000 0.0000  2 Mg 2.38
F1 0.5000 0.5000 0.5000  8 Cl 3.30, 4 C 3.36

=====

Density functional theory data (PBE) for a geometry-optimized LiTl3Se4 structure.

Summary:
As for the calculated volume: 265.9 Å³/cell. Its energy relative to the elements, uncorrected is -8.76 kcal/mol of atoms. The calculation puts the total DFT energy (no corrections) at -3.249 eV per atom. The magnetic moment comes out at 0.0 Bohr magnetons per cell.

Cell: 6.4305 6.4305 6.4305 Å, 90.00 90.00 90.00°
Closest atoms and distances in Å follow each position.
Fractional coordinates of all 8 atoms:
Li1 0.0000 0.0000 0.0000  4 Se 2.68
Tl1 0.0000 0.5000 0.5000  4 Se 2.82
Tl2 0.5000 0.0000 0.5000  4 Se 2.82
Tl3 0.5000 0.5000 0.0000  4 Se 2.82
Se1 0.2410 0.2410 0.2410  1 Li 2.68, 3 Tl 2.82
Se2 0.2410 0.7590 0.7590  1 Li 2.68, 3 Tl 2.82
Se3 0.7590 0.2410 0.7590  1 Li 2.68, 3 Tl 2.82
Se4 0.7590 0.7590 0.2410  1 Li 2.68, 3 Tl 2.82

=====

Density functional theory data (PBE) for a geometry-optimized CsSrTl2Pt structure.

Summary:
As for the calculated volume: 180.6 Å³/cell. The calculation puts the total DFT energy (no corrections) at -2.848 eV per atom. The magnetic moment comes out at 0.0 Bohr magnetons per cell. For the formation energy from the elements, the calculation gives -0.19 eV/atom.

Cell: 5.5627 5.5627 5.8367 Å, 90.00 90.00 90.00°
Closest atoms and distances in Å follow each position.
Fractional coordinates of all 5 atoms:
Cs1 0.0000 0.0000 0.0000  4 Sr 3.93, 8 Tl 4.03
Sr1 0.5000 0.5000 0.0000  2 Pt 2.92
Tl1 0.0000 0.5000 0.5000  2 Pt 2.78
Tl2 0.5000 0.0000 0.5000  2 Pt 2.78
Pt1 0.5000 0.5000 0.5000  4 Tl 2.78, 2 Sr 2.92

=====

Density functional theory data (PBE) for a geometry-optimized La5PmSm2Mg structure.

Summary:
As for the calculated volume: 637.1 Å³/cell. The calculation puts the total DFT energy (no corrections) at -4.410 eV per atom. The magnetic moment comes out at 0.0 Bohr magnetons per cell. For the formation energy from the elements, the calculation gives 0.08 eV/atom.

Cell: 10.5239 10.5239 11.0820 Å, 90.00 90.00 148.73°
Closest atoms and distances in Å follow each position.
Fractional coordinates of all 18 atoms:
La1 0.9999 0.0001 0.0000  2 Mg 3.37, 4 Sm 3.69-3.70, 2 La 3.70-3.71
La2 0.0001 0.9999 0.5000  2 Mg 3.37, 4 Sm 3.69-3.70, 2 La 3.70-3.71
La3 0.1214 0.8786 0.7507  4 Sm 3.69, 6 La 3.70-3.90, 1 Pm 3.77
La4 0.2123 0.7877 0.4520  1 Mg 3.27, 2 La 3.39, 3 Sm 3.49-3.59, 2 Pm 3.63
La5 0.2137 0.7863 0.0509  1 Mg 3.27, 2 La 3.39, 3 Sm 3.48-3.60, 2 Pm 3.63
La6 0.4892 0.5108 0.7508  2 Mg 3.31, 2 Sm 3.46-3.48, 1 Pm 3.68
La7 0.5108 0.4892 0.2508  2 Mg 3.31, 2 Sm 3.46-3.48, 1 Pm 3.68
La8 0.7863 0.2137 0.5509  1 Mg 3.27, 2 La 3.39, 3 Sm 3.48-3.60, 2 Pm 3.63
La9 0.7877 0.2123 0.9520  1 Mg 3.27, 2 La 3.39, 3 Sm 3.49-3.59, 2 Pm 3.63
La10 0.8786 0.1214 0.2507  4 Sm 3.69, 6 La 3.70-3.90, 1 Pm 3.77
Pm1 0.3076 0.6924 0.7515  2 Mg 3.46, 2 Sm 3.55, 8 La 3.63-3.84
Pm2 0.6924 0.3076 0.2515  2 Mg 3.46, 2 Sm 3.55, 8 La 3.63-3.84
Sm1 0.3845 0.6155 0.4635  9 La 3.48-3.83, 1 Pm 3.55
Sm2 0.3854 0.6146 0.0383  9 La 3.46-3.82, 1 Pm 3.55
Sm3 0.6146 0.3854 0.5383  9 La 3.46-3.82, 1 Pm 3.55
Sm4 0.6155 0.3845 0.9635  9 La 3.48-3.83, 1 Pm 3.55
Mg1 0.0947 0.9053 0.2496  6 La 3.27-3.37, 2 Pm 3.46
Mg2 0.9053 0.0947 0.7496  6 La 3.27-3.37, 2 Pm 3.46

=====

Density functional theory data (PBE) for a geometry-optimized FeAs2Ir structure.

Summary:
As for the calculated volume: 67.8 Å³/cell. The excess energy over the best structure of this formula in the dataset comes out at 216 meV per atom. The calculation puts the total DFT energy (no corrections) at -6.435 eV per atom. The magnetic moment comes out at 2.8 Bohr magnetons per cell. For the formation energy from the elements, the calculation gives 0.22 eV/atom.

Cell: 2.8096 2.8096 9.8332 Å, 90.00 90.00 119.11°
Closest atoms and distances in Å follow each position.
Fractional coordinates of all 4 atoms:
Fe1 0.0000 0.0000 0.0000  2 As 2.49, 2 Ir 2.58
As1 0.0000 0.0000 0.4383  2 Ir 2.59, 6 As 2.81-2.85
As2 0.5000 0.5000 0.7922  2 Fe 2.49
Ir1 0.5000 0.5000 0.2183  2 Fe 2.58, 2 As 2.59, 6 Ir 2.81-2.85

=====

Density functional theory data (PBE) for a geometry-optimized LiTe2PbN structure.

Summary:
As for the calculated volume: 120.4 Å³/cell. The excess energy over the best structure of this formula in the dataset comes out at 0 meV per atom. Its energy relative to the elements, uncorrected is 14.19 kcal/mol of atoms. The calculation puts the total DFT energy (no corrections) at -3.431 eV per atom. The magnetic moment comes out at 1.5 Bohr magnetons per cell.

Cell: 5.6520 5.6520 3.7702 Å, 90.00 90.00 90.00°
Closest atoms and distances in Å follow each position.
Fractional coordinates of all 5 atoms:
Li1 0.0000 0.0000 0.0000  2 N 1.89
Te1 0.0000 0.5000 0.0000  2 Li 2.83
Te2 0.5000 0.0000 0.0000  2 Li 2.83
Pb1 0.5000 0.5000 0.5000  8 Te 3.40, 2 Pb 3.77
N1 0.0000 0.0000 0.5000  2 Li 1.89

=====

Density functional theory data (PBE) for a geometry-optimized LiZr2Os structure.

Summary:
As for the calculated volume: 76.4 Å³/cell. The excess energy over the best structure of this formula in the dataset comes out at 508 meV per atom. The calculation puts the total DFT energy (no corrections) at -7.370 eV per atom. The magnetic moment comes out at 0.0 Bohr magnetons per cell. For the formation energy from the elements, the calculation gives 0.19 eV/atom.

Cell: 2.9303 2.9303 9.6458 Å, 90.00 90.00 112.71°
Closest atoms and distances in Å follow each position.
Fractional coordinates of all 4 atoms:
Li1 0.0000 0.0000 0.0000  2 Os 2.65, 4 Li 2.93
Zr1 0.0000 0.0000 0.5682  2 Os 2.63, 4 Zr 2.93
Zr2 0.5000 0.5000 0.2846  8 Zr 2.93-3.25, 2 Li 3.19
Os1 0.5000 0.5000 0.7831  2 Zr 2.63, 2 Li 2.65, 4 Os 2.93

=====

Density functional theory data (PBE) for a geometry-optimized Cs3ErO3 structure.

Summary:
As for the calculated volume: 772.3 Å³/cell. The excess energy over the best structure of this formula in the dataset comes out at 0 meV per atom. Its energy relative to the elements, uncorrected is -44.85 kcal/mol of atoms. The calculation puts the total DFT energy (no corrections) at -5.087 eV per atom. The magnetic moment comes out at 0.3 Bohr magnetons per cell.

Cell: 8.2059 7.6684 12.3308 Å, 90.00 95.51 90.00°
Closest atoms and distances in Å follow each position.
Fractional coordinates of all 28 atoms:
Cs1 0.0598 0.1239 0.1566  3 O 2.98-3.24
Cs2 0.0598 0.3761 0.6566  3 O 2.98-3.24
Cs3 0.3465 0.1553 0.9220  3 O 2.90-3.02
Cs4 0.3465 0.3447 0.4220  3 O 2.90-3.02
Cs5 0.3826 0.6766 0.8100  2 O 2.87-3.19
Cs6 0.3826 0.8234 0.3100  2 O 2.87-3.19
Cs7 0.6174 0.1766 0.6900  2 O 2.87-3.19
Cs8 0.6174 0.3234 0.1900  2 O 2.87-3.19
Cs9 0.6535 0.6553 0.5780  3 O 2.90-3.02
Cs10 0.6535 0.8447 0.0780  3 O 2.90-3.02
Cs11 0.9402 0.6239 0.3434  3 O 2.98-3.24
Cs12 0.9402 0.8761 0.8434  3 O 2.98-3.24
Er1 0.1534 0.5893 0.0701  4 O 2.10-2.20
Er2 0.1534 0.9107 0.5701  4 O 2.10-2.20
Er3 0.8466 0.0893 0.4299  4 O 2.10-2.20
Er4 0.8466 0.4107 0.9299  4 O 2.10-2.20
O1 0.1097 0.0542 0.4171  2 Er 2.18-2.20
O2 0.1097 0.4458 0.9171  2 Er 2.18-2.20
O3 0.2402 0.6543 0.5497  1 Er 2.11
O4 0.2402 0.8457 0.0497  1 Er 2.11
O5 0.2912 0.0431 0.6970  1 Er 2.10
O6 0.2912 0.4569 0.1970  1 Er 2.10
O7 0.7088 0.5431 0.8030  1 Er 2.10
O8 0.7088 0.9569 0.3030  1 Er 2.10
O9 0.7598 0.1543 0.9503  1 Er 2.11
O10 0.7598 0.3457 0.4503  1 Er 2.11
O11 0.8903 0.5542 0.0829  2 Er 2.18-2.20
O12 0.8903 0.9458 0.5829  2 Er 2.18-2.20

=====

Density functional theory data (PBE) for a geometry-optimized DySc2Cd2 structure.

Summary:
As for the calculated volume: 263.3 Å³/cell. The excess energy over the best structure of this formula in the dataset comes out at 226 meV per atom. The calculation puts the total DFT energy (no corrections) at -3.820 eV per atom. The magnetic moment comes out at 0.0 Bohr magnetons per cell. For the formation energy from the elements, the calculation gives 0.00 eV/atom.

Cell: 12.4075 12.4075 12.4075 Å, 158.20 158.20 31.03°
Closest atoms and distances in Å follow each position.
Fractional coordinates of all 10 atoms:
Dy1 0.1299 0.1299 0.0000  8 Cd 3.55-3.89, 8 Sc 3.59-3.71
Dy2 0.8701 0.8701 0.0000  8 Cd 3.55-3.89, 8 Sc 3.59-3.71
Sc1 0.2500 0.7500 0.5000  4 Cd 2.84
Sc2 0.4278 0.4278 0.0000  5 Cd 2.65-2.91
Sc3 0.5722 0.5722 0.0000  5 Cd 2.65-2.91
Sc4 0.7500 0.2500 0.5000  4 Cd 2.84
Cd1 0.0000 0.5000 0.5000  4 Sc 2.91
Cd2 0.3168 0.3168 0.0000  5 Sc 2.65-2.84
Cd3 0.5000 0.0000 0.5000  4 Sc 2.91
Cd4 0.6832 0.6832 0.0000  5 Sc 2.65-2.84

=====

Density functional theory data (PBE) for a geometry-optimized Li3FeRu structure.

Summary:
As for the calculated volume: 79.3 Å³/cell. The excess energy over the best structure of this formula in the dataset comes out at 0 meV per atom. The calculation puts the total DFT energy (no corrections) at -3.462 eV per atom. The magnetic moment comes out at 4.4 Bohr magnetons per cell. For the formation energy from the elements, the calculation gives 1.23 eV/atom.

Cell: 4.2971 4.2971 4.2971 Å, 90.00 90.00 90.00°
Closest atoms and distances in Å follow each position.
Fractional coordinates of all 5 atoms:
Li1 0.0000 0.0000 0.5000  2 Fe 2.15
Li2 0.0000 0.5000 0.0000  2 Fe 2.15
Li3 0.5000 0.0000 0.0000  2 Fe 2.15
Fe1 0.0000 0.0000 0.0000  6 Li 2.15
Ru1 0.5000 0.5000 0.5000  12 Li 3.04

=====

Density functional theory data (PBE) for a geometry-optimized PmNiIr structure.

Summary:
As for the calculated volume: 59.2 Å³/cell. The excess energy over the best structure of this formula in the dataset comes out at 72 meV per atom. The calculation puts the total DFT energy (no corrections) at -6.961 eV per atom. The magnetic moment comes out at 0.0 Bohr magnetons per cell. For the formation energy from the elements, the calculation gives -0.50 eV/atom.

Cell: 4.1539 4.1539 3.9620 Å, 90.00 90.00 120.00°
Closest atoms and distances in Å follow each position.
Fractional coordinates of all 3 atoms:
Pm1 0.0000 0.0000 0.0000  6 Ni 3.11, 6 Ir 3.11
Ni1 0.6667 0.3333 0.5000  3 Ir 2.40
Ir1 0.3333 0.6667 0.5000  3 Ni 2.40